1.
5
Lattice="5.009 0.000 0.000 0.000 5.009 0.000 0.000 0.000 4.437" Properties=species:S:1:pos:R:3 comment="HgOsSCl2 (PBE-GGA, relaxed)" density_kg_m3=7365 polymorph_energy_ev_per_atom=0.000 e_form_raw_mev_per_atom=158 pbc="T T T"
Hg 0.000 0.000 0.000
Os 2.505 2.505 2.218
S 2.505 2.505 0.000
Cl 0.000 2.505 2.218
Cl 2.505 0.000 2.218

2.
4
Lattice="5.488 0.000 0.000 0.000 5.488 0.000 0.000 0.000 3.516" Properties=species:S:1:pos:R:3 comment="Na2HgSb (PBE-GGA, relaxed)" density_kg_m3=5776 e_form_raw_mev_per_atom=-293 pbc="T T T"
Na 0.000 2.744 0.000
Na 2.744 0.000 0.000
Hg 0.000 0.000 1.758
Sb 2.744 2.744 1.758

3.
6
Lattice="2.232 -6.683 0.000 2.232 6.683 0.000 0.000 0.000 3.159" Properties=species:S:1:pos:R:3 comment="ReMo5 (PBE-GGA, relaxed)" density_kg_m3=11733 polymorph_energy_ev_per_atom=0.000 formation_enthalpy_0k_ev_per_atom=0.012 pbc="T T T"
Re 0.000 0.000 0.000
Mo 2.232 4.456 1.579
Mo 2.232 2.216 0.000
Mo 2.232 0.000 1.579
Mo 2.232 -2.216 0.000
Mo 2.232 -4.456 1.579

4.
5
Lattice="-2.777 2.777 3.969 2.777 -2.777 3.969 2.777 2.777 -3.969" Properties=species:S:1:pos:R:3 comment="LiCa2Ir2 (PBE-GGA, relaxed)" density_kg_m3=6397 polymorph_energy_ev_per_atom=0.573 formation_enthalpy_0k_ev_per_atom=0.197 pbc="T T T"
Li 0.000 0.000 0.000
Ca 2.777 0.000 1.985
Ca 0.000 2.777 1.985
Ir 0.000 0.000 2.745
Ir 0.000 0.000 5.194

5.
12
Lattice="3.894 -6.953 0.000 3.894 6.953 0.000 -2.758 0.000 7.666" Properties=species:S:1:pos:R:3 comment="K6SBr2Cl3 (PBE-GGA, relaxed)" density_kg_m3=2131 e_form_raw_mev_per_atom=-1612 pbc="T T T"
K -0.173 2.311 5.821
K 1.226 0.000 1.772
K -0.173 -2.311 5.821
K 5.204 2.311 1.845
K 3.804 0.000 5.894
K 5.204 -2.311 1.845
S -1.379 0.000 3.833
Br 2.515 2.244 3.833
Br 2.515 -2.244 3.833
Cl 3.894 4.601 0.000
Cl 3.894 0.000 0.000
Cl 3.894 -4.601 0.000

6.
10
Lattice="-2.794 3.858 4.637 2.794 -3.858 4.637 2.794 3.858 -4.637" Properties=species:S:1:pos:R:3 comment="TbInPt3 (PBE-GGA, relaxed)" density_kg_m3=14271 formation_enthalpy_0k_ev_per_atom=-0.700 pbc="T T T"
Tb 0.000 1.929 0.114
Tb 2.794 1.929 4.523
In 2.794 0.000 0.000
In 0.000 0.000 4.637
Pt 2.794 1.929 -1.868
Pt 1.397 4.334 -2.318
Pt 1.397 0.476 2.318
Pt -1.397 3.382 2.318
Pt 1.397 3.382 2.318
Pt 0.000 1.929 6.505

7.
10
Lattice="3.479 -6.056 0.000 3.479 6.056 0.000 -1.120 0.000 6.210" Properties=species:S:1:pos:R:3 comment="VInCl3 (PBE-GGA, relaxed)" density_kg_m3=3453 polymorph_energy_ev_per_atom=0.000 e_form_raw_mev_per_atom=-992 pbc="T T T"
V 0.000 0.000 0.000
V -0.560 0.000 3.105
In 2.639 2.103 4.657
In 3.199 -2.103 1.552
Cl 3.199 4.135 1.552
Cl 1.356 0.959 1.862
Cl 0.795 -0.959 4.967
Cl 5.043 0.959 1.243
Cl 4.483 -0.959 4.348
Cl 2.639 -4.135 4.657

8.
12
Lattice="9.166 -2.039 0.000 9.166 2.039 0.000 -2.157 0.000 8.132" Properties=species:S:1:pos:R:3 comment="Th6Ir3RhS2 (PBE-GGA, relaxed)" density_kg_m3=11666 e_form_raw_mev_per_atom=-1217 pbc="T T T"
Th -0.465 0.000 2.048
Th 5.243 0.000 3.404
Th 4.278 0.000 7.297
Th 11.897 0.000 0.835
Th 10.932 0.000 4.728
Th 16.639 0.000 6.085
Ir 2.384 0.000 2.791
Ir 9.166 0.000 0.000
Ir 13.791 0.000 5.342
Rh 8.087 0.000 4.066
S 1.343 0.000 6.928
S 14.832 0.000 1.205

9.
4
Lattice="0.000 3.216 3.216 3.216 0.000 3.216 3.216 3.216 0.000" Properties=species:S:1:pos:R:3 comment="ZrTi2Ir (PBE-GGA, relaxed)" density_kg_m3=9464 polymorph_energy_ev_per_atom=0.034 formation_enthalpy_0k_ev_per_atom=-0.420 pbc="T T T"
Zr 0.000 0.000 0.000
Ti 1.608 1.608 1.608
Ti 4.824 4.824 4.824
Ir 3.216 3.216 3.216

10.
5
Lattice="4.803 0.000 0.000 0.000 4.803 0.000 0.000 0.000 3.850" Properties=species:S:1:pos:R:3 comment="SrCuBIr2 (PBE-GGA, relaxed)" density_kg_m3=10215 formation_enthalpy_0k_ev_per_atom=0.928 pbc="T T T"
Sr 0.000 0.000 0.000
Cu 2.402 2.402 1.925
B 2.402 2.402 0.000
Ir 0.000 2.402 1.925
Ir 2.402 0.000 1.925

11.
4
Lattice="-1.594 3.057 5.400 1.594 -3.057 5.400 1.594 3.057 -5.400" Properties=species:S:1:pos:R:3 comment="KSb2Rh (PBE-GGA, relaxed)" density_kg_m3=6080 polymorph_energy_ev_per_atom=0.211 e_form_raw_mev_per_atom=-192 pbc="T T T"
K 0.000 0.000 0.000
Sb 1.594 0.000 3.283
Sb 0.000 3.057 2.117
Rh 0.000 0.000 5.400

12.
10
Lattice="-4.327 4.327 6.161 4.327 -4.327 6.161 4.327 4.327 -6.161" Properties=species:S:1:pos:R:3 comment="Rb2SnHgI6 (PBE-GGA, relaxed)" density_kg_m3=4506 polymorph_energy_ev_per_atom=0.037 e_form_raw_mev_per_atom=-787 pbc="T T T"
Rb 4.327 0.000 3.080
Rb 0.000 4.327 3.080
Sn 0.000 0.000 0.000
Hg 0.000 0.000 6.161
I 0.000 0.000 3.083
I 2.175 2.175 0.000
I 2.151 -2.151 6.161
I -2.151 2.151 6.161
I 2.151 2.151 6.161
I 0.000 0.000 9.238